A relaxed structure of K2Cr4O13. Source: Alexandria, functional PBE+U.

Structure (POSCAR):
```
K2Cr4O13
1.0
7.7430 0.0000 0.0000
0.0000 8.9870 0.0339
0.0000 0.4557 9.5374
O Cr K
26 8 4
Direct
0.8798 0.3234 0.6400
0.3213 0.1563 0.3260
0.4702 0.3388 0.9972
0.9419 0.7137 0.6498
0.5540 0.0342 0.5182
0.7218 0.1649 0.1126
0.2782 0.1649 0.6126
0.2575 0.5372 0.4271
0.5607 0.6496 0.5030
0.7425 0.5372 0.9271
0.3593 0.5120 0.6952
0.6407 0.5120 0.1952
0.5298 0.3388 0.4972
0.7765 0.8391 0.2488
0.0653 0.0213 0.1631
0.1202 0.3234 0.1400
0.6787 0.1563 0.8260
0.0581 0.7137 0.1498
0.9347 0.0213 0.6631
0.0262 0.2132 0.8664
0.4460 0.0342 0.0182
0.2235 0.8391 0.7488
0.9738 0.2132 0.3664
0.4393 0.6496 0.0030
0.8496 0.8712 0.9762
0.1504 0.8712 0.4762
0.8874 0.1811 0.7483
0.4212 0.5149 0.5329
0.0697 0.8587 0.6336
0.5790 0.1701 0.9922
0.5788 0.5149 0.0329
0.4210 0.1701 0.4922
0.1126 0.1811 0.2483
0.9303 0.8587 0.1336
0.5924 0.7975 0.7589
0.8957 0.5494 0.4008
0.4076 0.7975 0.2589
0.1043 0.5494 0.9008
```

symmetry = Pc
VASP energy = -121.553 eV per formula unit